# 1
The following is a PBE calculation of a relaxed structure of TaAsRu2, from the Alexandria database.

Values from the calculation:
Energy, eV/atom: -8.86
Crystal system: monoclinic

```
data_TaAsRu2
_chemical_formula_sum 'Ta2 As2 Ru4'
_cell_length_a 8.5856
_cell_length_b 3.0607
_cell_length_c 4.8374
_cell_angle_alpha 90.00
_cell_angle_beta 100.94
_cell_angle_gamma 90.00
_symmetry_space_group_name_H-M 'C 1 2/m 1'
_symmetry_Int_Tables_number 12
_symmetry_space_group_name_Hall '-C 2y'
loop_
_atom_site_label
_atom_site_fract_x
_atom_site_fract_y
_atom_site_fract_z
Ta1 0.0000 0.0000 0.0000
As1 0.0000 0.5000 0.5000
Ru1 0.2407 0.5000 0.2463
```

# 2
The following is a PBE calculation of a relaxed structure of TaAsRu2, from the Alexandria database.

Values from the calculation:
Energy, eV/atom: -8.92
Crystal system: orthorhombic

```
data_TaAsRu2
_chemical_formula_sum 'Ta2 As2 Ru4'
_cell_length_a 3.0743
_cell_length_b 4.4280
_cell_length_c 8.9136
_cell_angle_alpha 90.00
_cell_angle_beta 90.00
_cell_angle_gamma 90.00
_symmetry_space_group_name_H-M 'I m m 2'
_symmetry_Int_Tables_number 44
_symmetry_space_group_name_Hall 'I 2 -2'
loop_
_atom_site_label
_atom_site_fract_x
_atom_site_fract_y
_atom_site_fract_z
Ta1 0.0000 0.0000 0.0000
As1 0.0000 0.5000 0.2544
Ru1 0.0000 0.0000 0.5379
Ru2 0.0000 0.5000 0.7621
```

# 3
The following is a PBE calculation of a relaxed structure of Ta2TiAsRu, from the Alexandria database.

Values from the calculation:
Energy, eV/atom: -8.26
Crystal system: tetragonal

```
data_Ta2TiAsRu
_chemical_formula_sum 'Ta2 Ti1 As1 Ru1'
_cell_length_a 4.6870
_cell_length_b 4.6870
_cell_length_c 4.5075
_cell_angle_alpha 90.00
_cell_angle_beta 90.00
_cell_angle_gamma 90.00
_symmetry_space_group_name_H-M 'P 4/m m m'
_symmetry_Int_Tables_number 123
_symmetry_space_group_name_Hall '-P 4 2'
loop_
_atom_site_label
_atom_site_fract_x
_atom_site_fract_y
_atom_site_fract_z
Ta1 0.0000 0.5000 0.0000
Ti1 0.0000 0.0000 0.5000
As1 0.0000 0.0000 0.0000
Ru1 0.5000 0.5000 0.5000
```

# 4
The following is a PBE calculation of a relaxed structure of Zr2TaAsRu, from the Alexandria database.

Values from the calculation:
Energy, eV/atom: -7.62
Crystal system: tetragonal

```
data_Zr2TaAsRu
_chemical_formula_sum 'Zr2 Ta1 As1 Ru1'
_cell_length_a 5.1677
_cell_length_b 5.1677
_cell_length_c 4.5847
_cell_angle_alpha 90.00
_cell_angle_beta 90.00
_cell_angle_gamma 90.00
_symmetry_space_group_name_H-M 'P 4/m m m'
_symmetry_Int_Tables_number 123
_symmetry_space_group_name_Hall '-P 4 2'
loop_
_atom_site_label
_atom_site_fract_x
_atom_site_fract_y
_atom_site_fract_z
Zr1 0.0000 0.5000 0.0000
Ta1 0.0000 0.0000 0.0000
As1 0.5000 0.5000 0.5000
Ru1 0.0000 0.0000 0.5000
```

# 5
The following is a PBE calculation of a relaxed structure of TbAs2Ru, from the Alexandria database.

Values from the calculation:
Energy, eV/atom: -6.54
Crystal system: trigonal

```
data_TbAs2Ru
_chemical_formula_sum 'Tb3 As6 Ru3'
_cell_length_a 4.0260
_cell_length_b 4.0260
_cell_length_c 16.5328
_cell_angle_alpha 90.00
_cell_angle_beta 90.00
_cell_angle_gamma 120.00
_symmetry_space_group_name_H-M 'R -3 m'
_symmetry_Int_Tables_number 166
_symmetry_space_group_name_Hall '-R 3 2"'
loop_
_atom_site_label
_atom_site_fract_x
_atom_site_fract_y
_atom_site_fract_z
Tb1 0.0000 0.0000 0.0000
As1 0.0000 0.0000 0.2303
Ru1 0.0000 0.0000 0.5000
```

# 6
The following is a PBE calculation of a relaxed structure of Tc2AsRu, from the Alexandria database.

Values from the calculation:
Energy, eV/atom: -8.37
Crystal system: tetragonal

```
data_Tc2AsRu
_chemical_formula_sum 'Tc2 As1 Ru1'
_cell_length_a 3.6501
_cell_length_b 3.6501
_cell_length_c 4.4228
_cell_angle_alpha 90.00
_cell_angle_beta 90.00
_cell_angle_gamma 90.00
_symmetry_space_group_name_H-M 'P 4/m m m'
_symmetry_Int_Tables_number 123
_symmetry_space_group_name_Hall '-P 4 2'
loop_
_atom_site_label
_atom_site_fract_x
_atom_site_fract_y
_atom_site_fract_z
Tc1 0.0000 0.5000 0.0000
As1 0.0000 0.0000 0.5000
Ru1 0.5000 0.5000 0.5000
```

# 7
The following is a PBE calculation of a relaxed structure of Tc2As2Ru, from the Alexandria database.

Values from the calculation:
Energy, eV/atom: -7.70
Crystal system: tetragonal

```
data_Tc2As2Ru
_chemical_formula_sum 'Tc4 As4 Ru2'
_cell_length_a 7.0859
_cell_length_b 7.0859
_cell_length_c 2.9590
_cell_angle_alpha 90.00
_cell_angle_beta 90.00
_cell_angle_gamma 90.00
_symmetry_space_group_name_H-M 'P 4/m b m'
_symmetry_Int_Tables_number 127
_symmetry_space_group_name_Hall '-P 4 2ab'
loop_
_atom_site_label
_atom_site_fract_x
_atom_site_fract_y
_atom_site_fract_z
Tc1 0.1478 0.3522 0.0000
As1 0.1541 0.6541 0.5000
Ru1 0.0000 0.0000 0.5000
```

# 8
The following is a PBE calculation of a relaxed structure of Tc2AsRu, from the Alexandria database.

Values from the calculation:
Energy, eV/atom: -8.53
Crystal system: orthorhombic

```
data_Tc2AsRu
_chemical_formula_sum 'Tc2 As1 Ru1'
_cell_length_a 2.8757
_cell_length_b 3.8976
_cell_length_c 5.2569
_cell_angle_alpha 90.00
_cell_angle_beta 90.00
_cell_angle_gamma 90.00
_symmetry_space_group_name_H-M 'P m m 2'
_symmetry_Int_Tables_number 25
_symmetry_space_group_name_Hall 'P 2 -2'
loop_
_atom_site_label
_atom_site_fract_x
_atom_site_fract_y
_atom_site_fract_z
Tc1 0.0000 0.0000 0.0000
Tc2 0.5000 0.5000 0.2005
As1 0.0000 0.0000 0.4914
Ru1 0.5000 0.5000 0.6956
```